Entry from Alexandria via LeMat-Bulk: an optimized crystal structure of HfNb2ClF (PBE).

```
data_HfNb2ClF
_chemical_formula_sum 'Hf1 Nb2 Cl1 F1'
_cell_length_a 4.3434
_cell_length_b 4.3434
_cell_length_c 4.6375
_cell_angle_alpha 90.00
_cell_angle_beta 90.00
_cell_angle_gamma 90.00
_symmetry_space_group_name_H-M 'P 4/m m m'
_symmetry_Int_Tables_number 123
_symmetry_space_group_name_Hall '-P 4 2'
loop_
_atom_site_label
_atom_site_type_symbol
_atom_site_fract_x
_atom_site_fract_y
_atom_site_fract_z
Hf1 Hf 0.0000 0.0000 0.0000
Nb1 Nb 0.0000 0.5000 0.5000
Cl1 Cl 0.5000 0.5000 0.0000
F1 F 0.0000 0.0000 0.5000
```

Results
formation energy (no corrections): 0.265 eV/atom
D(E_F): 1.3 states/eV/cell
energy: -32.49 eV per cell

=====

Entry from Alexandria via LeMat-Bulk: an optimized crystal structure of Li3NiCl6 (PBE).

```
data_Li3NiCl6
_chemical_formula_sum 'Li6 Ni2 Cl12'
_cell_length_a 6.0924
_cell_length_b 6.8629
_cell_length_c 10.9102
_cell_angle_alpha 90.00
_cell_angle_beta 118.93
_cell_angle_gamma 90.00
_symmetry_space_group_name_H-M 'P 1 21/c 1'
_symmetry_Int_Tables_number 14
_symmetry_space_group_name_Hall '-P 2ybc'
loop_
_atom_site_label
_atom_site_type_symbol
_atom_site_fract_x
_atom_site_fract_y
_atom_site_fract_z
Li1 Li 0.0000 0.0000 0.0000
Li2 Li 0.1455 0.1108 0.6730
Ni1 Ni 0.5000 0.0000 0.5000
Cl1 Cl 0.1258 0.0554 0.2560
Cl2 Cl 0.2516 0.6714 0.0596
Cl3 Cl 0.3999 0.2287 0.0746
```

Results
formation energy (no corrections): -1.209 eV/atom
energy relative to the lowest polymorph listed for this composition: 14.7 meV per atom
energy: -69.38 eV per cell

=====

Entry from Alexandria via LeMat-Bulk: an optimized crystal structure of ErBiI (PBE).

```
data_ErBiI
_chemical_formula_sum 'Er2 Bi2 I2'
_cell_length_a 3.9150
_cell_length_b 3.9150
_cell_length_c 12.7984
_cell_angle_alpha 90.00
_cell_angle_beta 90.00
_cell_angle_gamma 90.00
_symmetry_space_group_name_H-M 'P 4/n m m'
_symmetry_Int_Tables_number 129
loop_
_symmetry_equiv_pos_as_xyz
'x,y,z'
'-x,-y,-z'
'-y+1/2,x,z'
'y+1/2,-x,-z'
'-x+1/2,-y+1/2,z'
'x+1/2,y+1/2,-z'
'y,-x+1/2,z'
'-y,x+1/2,-z'
'x+1/2,-y,-z'
'-x+1/2,y,z'
'-y,-x,-z'
'y,x,z'
'-x,y+1/2,-z'
'x,-y+1/2,z'
'y+1/2,x+1/2,-z'
'-y+1/2,-x+1/2,z'
loop_
_atom_site_label
_atom_site_type_symbol
_atom_site_fract_x
_atom_site_fract_y
_atom_site_fract_z
Er1 Er 0.2500 0.2500 0.2081
Bi1 Bi 0.2500 0.2500 0.9266
I1 I 0.2500 0.2500 0.6435
```

Results
formation energy (no corrections): -0.713 eV/atom
D(E_F): 2.4 states/eV/cell
energy relative to the lowest polymorph listed for this composition: 0.0 meV per atom
energy: -24.27 eV per cell

=====

Entry from Alexandria via LeMat-Bulk: an optimized crystal structure of NpSnPt2 (PBE).

```
data_NpSnPt2
_chemical_formula_sum 'Np1 Sn1 Pt2'
_cell_length_a 4.7464
_cell_length_b 4.7464
_cell_length_c 3.6302
_cell_angle_alpha 90.00
_cell_angle_beta 90.00
_cell_angle_gamma 90.00
_symmetry_space_group_name_H-M 'P 4/m m m'
_symmetry_Int_Tables_number 123
_symmetry_space_group_name_Hall '-P 4 2'
loop_
_atom_site_label
_atom_site_type_symbol
_atom_site_fract_x
_atom_site_fract_y
_atom_site_fract_z
Np1 Np 0.0000 0.0000 0.0000
Sn1 Sn 0.5000 0.5000 0.0000
Pt1 Pt 0.0000 0.5000 0.5000
```

Results
energy of formation: -0.373 eV/atom
D(E_F): 8.7 states/eV/cell
energy: -30.52 eV per cell

=====

Entry from Alexandria via LeMat-Bulk: an optimized crystal structure of Li3Np3MnS8 (PBE).

```
data_Li3Np3MnS8
_chemical_formula_sum 'Li6 Np6 Mn2 S16'
_cell_length_a 13.0931
_cell_length_b 7.6988
_cell_length_c 7.5600
_cell_angle_alpha 90.00
_cell_angle_beta 124.04
_cell_angle_gamma 90.00
_symmetry_space_group_name_H-M 'C 1 2/m 1'
_symmetry_Int_Tables_number 12
_symmetry_space_group_name_Hall '-C 2y'
loop_
_atom_site_label
_atom_site_type_symbol
_atom_site_fract_x
_atom_site_fract_y
_atom_site_fract_z
Li1 Li 0.0000 0.0000 0.0000
Li2 Li 0.2500 0.2500 0.5000
Np1 Np 0.0000 0.5000 0.5000
Np2 Np 0.2500 0.2500 0.0000
Mn1 Mn 0.0000 0.0000 0.5000
S1 S 0.0006 0.2387 0.2634
S2 S 0.2375 0.0000 0.7389
S3 S 0.2468 0.0000 0.2515
```

Results
formation energy (no corrections): -1.187 eV/atom
D(E_F): 48.1 states/eV/cell
energy: -209.12 eV per cell

=====

Entry from Alexandria via LeMat-Bulk: an optimized crystal structure of Ba2Mg3ZnSn4 (PBE).

```
data_Ba2Mg3ZnSn4
_chemical_formula_sum 'Ba2 Mg3 Zn1 Sn4'
_cell_length_a 4.8781
_cell_length_b 4.8781
_cell_length_c 12.0981
_cell_angle_alpha 90.00
_cell_angle_beta 90.00
_cell_angle_gamma 90.00
_symmetry_space_group_name_H-M 'P -4 m 2'
_symmetry_Int_Tables_number 115
_symmetry_space_group_name_Hall 'P -4 -2'
loop_
_atom_site_label
_atom_site_type_symbol
_atom_site_fract_x
_atom_site_fract_y
_atom_site_fract_z
Ba1 Ba 0.0000 0.5000 0.2439
Mg1 Mg 0.0000 0.0000 0.0000
Mg2 Mg 0.0000 0.5000 0.6369
Zn1 Zn 0.5000 0.5000 0.0000
Sn1 Sn 0.0000 0.0000 0.5000
Sn2 Sn 0.0000 0.5000 0.8709
Sn3 Sn 0.5000 0.5000 0.5000
```

Results
energy of formation: -0.447 eV/atom
D(E_F): 0.8 states/eV/cell
energy: -30.39 eV per cell

=====

Entry from Alexandria via LeMat-Bulk: an optimized crystal structure of CeY2Ge (PBE).

```
data_CeY2Ge
_chemical_formula_sum 'Ce1 Y2 Ge1'
_cell_length_a 4.7506
_cell_length_b 4.7506
_cell_length_c 4.4919
_cell_angle_alpha 90.00
_cell_angle_beta 90.00
_cell_angle_gamma 90.00
_symmetry_space_group_name_H-M 'P 4/m m m'
_symmetry_Int_Tables_number 123
_symmetry_space_group_name_Hall '-P 4 2'
loop_
_atom_site_label
_atom_site_type_symbol
_atom_site_fract_x
_atom_site_fract_y
_atom_site_fract_z
Ce1 Ce 0.0000 0.0000 0.0000
Y1 Y 0.0000 0.5000 0.5000
Ge1 Ge 0.5000 0.5000 0.0000
```

Results
energy of formation: -0.314 eV/atom
D(E_F): 6.6 states/eV/cell
energy relative to the lowest polymorph listed for this composition: 0.0 meV per atom
energy: -24.74 eV per cell

=====

Entry from Alexandria via LeMat-Bulk: an optimized crystal structure of La12Cd3N4 (PBE).

```
data_La12Cd3N4
_chemical_formula_sum 'La24 Cd6 N8'
_cell_length_a 10.2620
_cell_length_b 10.2620
_cell_length_c 10.2620
_cell_angle_alpha 90.00
_cell_angle_beta 90.00
_cell_angle_gamma 90.00
_symmetry_space_group_name_H-M 'I m -3 m'
_symmetry_Int_Tables_number 229
_symmetry_space_group_name_Hall '-I 4 2 3'
loop_
_atom_site_label
_atom_site_type_symbol
_atom_site_fract_x
_atom_site_fract_y
_atom_site_fract_z
La1 La 0.0000 0.2522 0.2522
Cd1 Cd 0.0000 0.0000 0.5000
N1 N 0.2500 0.2500 0.2500
```

Results
formation energy (no corrections): -0.645 eV/atom
D(E_F): 50.3 states/eV/cell
energy: -214.86 eV per cell